1.
Below is a relaxed FeTeIr4 crystal, with properties calculated at the PBE level.

V: 17.03 Å³ per atom
VASP energy: -7.241 eV per atom
crystal system: cubic
formation energy from raw total energies: 0.6006 eV per atom
mass density: 15.5 g/cm³

Structure (CIF):
```
data_FeTeIr4
_chemical_formula_sum 'Fe4 Te4 Ir16'
_symmetry_space_group_name_H-M 'F -4 3 m'
_symmetry_Int_Tables_number 216
_symmetry_space_group_name_Hall 'F -4 2 3'
_cell_length_a 7.421
_cell_length_b 7.421
_cell_length_c 7.421
_cell_angle_alpha 90.00
_cell_angle_beta 90.00
_cell_angle_gamma 90.00
loop_
_atom_site_label
_atom_site_type_symbol
_atom_site_fract_x
_atom_site_fract_y
_atom_site_fract_z
Fe1 Fe 0.000 0.000 0.000
Te1 Te 0.250 0.250 0.750
Ir1 Ir 0.126 0.126 0.374
```

---

2.
Below is a relaxed FeTeIr crystal, with properties calculated at the PBE level.

V: 16.93 Å³ per atom
VASP energy: -6.437 eV per atom
crystal system: tetragonal
energy above the lowest structure with this stoichiometry: 220.4 meV/atom
formation energy from raw total energies: 0.3848 eV per atom
mass density: 12.3 g/cm³

Structure (CIF):
```
data_FeTeIr
_chemical_formula_sum 'Fe2 Te2 Ir2'
_symmetry_space_group_name_H-M 'I 4 m m'
_symmetry_Int_Tables_number 107
_symmetry_space_group_name_Hall 'I 4 -2'
_cell_length_a 3.609
_cell_length_b 3.609
_cell_length_c 7.798
_cell_angle_alpha 90.00
_cell_angle_beta 90.00
_cell_angle_gamma 90.00
loop_
_atom_site_label
_atom_site_type_symbol
_atom_site_fract_x
_atom_site_fract_y
_atom_site_fract_z
Fe1 Fe 0.000 0.000 0.000
Te1 Te 0.000 0.000 0.321
Ir1 Ir 0.000 0.000 0.660
```

---

Copy entry 2 word for word.
Below is a relaxed FeTeIr crystal, with properties calculated at the PBE level.

V: 16.93 Å³ per atom
VASP energy: -6.437 eV per atom
crystal system: tetragonal
energy above the lowest structure with this stoichiometry: 220.4 meV/atom
formation energy from raw total energies: 0.3848 eV per atom
mass density: 12.3 g/cm³

Structure (CIF):
```
data_FeTeIr
_chemical_formula_sum 'Fe2 Te2 Ir2'
_symmetry_space_group_name_H-M 'I 4 m m'
_symmetry_Int_Tables_number 107
_symmetry_space_group_name_Hall 'I 4 -2'
_cell_length_a 3.609
_cell_length_b 3.609
_cell_length_c 7.798
_cell_angle_alpha 90.00
_cell_angle_beta 90.00
_cell_angle_gamma 90.00
loop_
_atom_site_label
_atom_site_type_symbol
_atom_site_fract_x
_atom_site_fract_y
_atom_site_fract_z
Fe1 Fe 0.000 0.000 0.000
Te1 Te 0.000 0.000 0.321
Ir1 Ir 0.000 0.000 0.660
```

---

Question: Which of these has the lowest mass density?
Answer: FeTeIr